Na2Ca3IO6: relaxed, PBE.

Cell: 5.944 5.944 5.836 Å, 98.21 98.21 119.80°
Each line ends with the local moment (μB).
Fractional coordinates of all 12 atoms:
Ca: 0.827 0.173 0.500  0.01
Ca: 0.500 0.500 0.500  0.00
Ca: 0.173 0.827 0.500  0.01
O: 0.419 0.106 0.272  0.10
O: 0.106 0.419 0.272  0.10
O: 0.209 0.209 0.758  0.03
O: 0.581 0.894 0.728  0.10
O: 0.894 0.581 0.728  0.10
O: 0.791 0.791 0.242  0.03
Na: 0.672 0.328 0.000  0.00
Na: 0.328 0.672 0.000  0.00
I: 0.000 0.000 0.000  0.34

## Properties
crystal system = monoclinic
total magnetic moment = 0.085 μB/atom
E_form (uncorrected) = -1.8394 eV per atom
theoretical density = 3.8 g/cm³

NaCa2IO6: relaxed, PBE.

Cell: 5.866 5.589 9.734 Å, 56.07 90.00 90.00°
Fractional coordinates of all 20 atoms:
O: 0.737 0.757 0.079
O: 0.436 0.901 0.718
O: 0.263 0.243 0.921
O: 0.763 0.757 0.579
O: 0.237 0.243 0.421
O: 0.176 0.679 0.045
O: 0.324 0.679 0.545
O: 0.936 0.099 0.782
O: 0.824 0.321 0.955
O: 0.564 0.099 0.282
O: 0.064 0.901 0.218
O: 0.676 0.321 0.455
Ca: 0.444 0.722 0.259
Ca: 0.556 0.278 0.741
Ca: 0.944 0.278 0.241
Ca: 0.056 0.722 0.759
Na: 0.000 0.500 0.500
Na: 0.500 0.500 0.000
I: 0.500 0.000 0.500
I: 0.000 0.000 0.000

## Properties
crystal system = monoclinic
E above lowest polymorph = 0.00 eV per formula unit
total magnetic moment = 0.000 μB/atom
E_form (uncorrected) = -1.8030 eV per atom
theoretical density = 4.1 g/cm³

Na2CaIO4: relaxed, PBE.

Cell: 5.447 5.447 5.447 Å, 104.64 111.94 111.94°
Each line ends with the local moment (μB).
Fractional coordinates of all 8 atoms:
O: 0.899 0.667 0.200  0.15
O: 0.533 0.232 0.333  0.15
O: 0.101 0.301 0.768  0.15
O: 0.467 0.800 0.699  0.15
Na: 0.500 0.750 0.250  0.00
Na: 0.000 0.000 0.000  0.00
Ca: 0.500 0.250 0.750  0.00
I: 0.000 0.500 0.500  0.21

## Properties
crystal system = tetragonal
total magnetic moment = 0.132 μB/atom
E_form (uncorrected) = -1.3536 eV per atom
theoretical density = 3.7 g/cm³

NaCa2IO6: relaxed, PBE.

Cell: 5.812 5.811 5.697 Å, 59.33 59.31 59.99°
Fractional coordinates of all 10 atoms:
O: 0.641 0.116 0.808
O: 0.198 0.991 0.295
O: 0.434 0.641 0.808
O: 0.517 0.198 0.294
O: 0.991 0.516 0.295
O: 0.116 0.434 0.809
Na: 0.816 0.816 0.552
Ca: 0.549 0.548 0.355
Ca: 0.084 0.084 0.748
I: 0.316 0.316 0.052

## Properties
crystal system = trigonal
E above lowest polymorph = 0.31 eV per formula unit
total magnetic moment = 0.000 μB/atom
E_form (uncorrected) = -1.7725 eV per atom
theoretical density = 4.0 g/cm³

- Among the records above, which one has the highest total magnetic moment?
  Na2CaIO4